{"formula": "FeSi2Pd", "functional": "PBE", "state": "relaxed", "lattice_angstrom": [[0.000, 2.946, 2.946], [2.946, 0.000, 2.946], [2.946, 2.946, 0.000]], "species": ["Fe", "Si", "Si", "Pd"], "frac_coords": [[0.000, 0.000, 0.000], [0.250, 0.250, 0.250], [0.750, 0.750, 0.750], [0.500, 0.500, 0.500]], "volume_a3_per_atom": 12.79, "e_tot_ev_per_atom": -6.310}

=====

{"formula": "TiFeSiPd", "functional": "PBE", "state": "relaxed", "lattice_angstrom": [[0.000, 2.999, 2.999], [2.999, 0.000, 2.999], [2.999, 2.999, 0.000]], "species": ["Ti", "Fe", "Si", "Pd"], "frac_coords": [[0.000, 0.000, 0.000], [0.750, 0.750, 0.750], [0.500, 0.500, 0.500], [0.250, 0.250, 0.250]], "volume_a3_per_atom": 13.49, "e_tot_ev_per_atom": -7.222}

=====

{"formula": "YFe2SiPd", "functional": "PBE", "state": "relaxed", "lattice_angstrom": [[4.547, 0.000, 0.000], [0.000, 4.547, 0.000], [0.000, 0.000, 5.163]], "species": ["Y", "Fe", "Fe", "Si", "Pd"], "frac_coords": [[0.000, 0.000, 0.000], [0.000, 0.500, 0.500], [0.500, 0.000, 0.500], [0.500, 0.500, 0.000], [0.000, 0.000, 0.500]], "volume_a3_per_atom": 21.35, "e_tot_ev_per_atom": -5.592}

=====

{"formula": "ZnFeSi2Pd", "functional": "PBE", "state": "relaxed", "lattice_angstrom": [[4.586, 0.000, 0.000], [0.000, 4.586, 0.000], [0.000, 0.000, 4.756]], "species": ["Zn", "Fe", "Si", "Si", "Pd"], "frac_coords": [[0.000, 0.000, 0.000], [0.500, 0.500, 0.000], [0.000, 0.500, 0.500], [0.500, 0.000, 0.500], [0.000, 0.000, 0.500]], "volume_a3_per_atom": 20.01, "e_tot_ev_per_atom": -4.348}

=====

{"formula": "Sm2FePd", "functional": "PBE", "state": "relaxed", "lattice_angstrom": [[3.519, 0.000, 0.000], [0.000, 3.519, 0.000], [0.000, 0.000, 7.051]], "species": ["Sm", "Sm", "Fe", "Pd"], "frac_coords": [[0.000, 0.000, 0.241], [0.000, 0.000, 0.759], [0.500, 0.500, 0.000], [0.500, 0.500, 0.500]], "formation_enthalpy_0k_ev_per_atom": -0.280, "volume_a3_per_atom": 21.82}

=====

{"formula": "Sm6FePd2", "functional": "PBE", "state": "relaxed", "lattice_angstrom": [[6.615, 0.000, 0.000], [0.000, 7.462, 0.000], [-6.547, 0.000, 10.076]], "species": ["Sm", "Sm", "Sm", "Sm", "Sm", "Sm", "Sm", "Sm", "Sm", "Sm", "Sm", "Sm", "Fe", "Fe", "Pd", "Pd", "Pd", "Pd"], "frac_coords": [[0.103, 0.176, 0.436], [0.103, 0.324, 0.936], [0.266, 0.684, 0.436], [0.266, 0.816, 0.936], [0.394, 0.034, 0.252], [0.394, 0.466, 0.752], [0.606, 0.534, 0.248], [0.606, 0.966, 0.748], [0.734, 0.184, 0.064], [0.734, 0.316, 0.564], [0.897, 0.676, 0.064], [0.897, 0.824, 0.564], [0.500, 0.000, 0.500], [0.500, 0.500, 0.000], [0.190, 0.115, 0.750], [0.190, 0.385, 0.250], [0.810, 0.615, 0.750], [0.810, 0.885, 0.250]], "formation_enthalpy_0k_ev_per_atom": -0.333, "volume_a3_per_atom": 27.63}